(1)
A plane-wave DFT calculation with GGA-PBE was carried out for LiOsPb2 after structural relaxation.

## Properties
Polymorph energy (0 for the lowest one), meV/atom: 0.0
Energy relative to the elements, eV per atom: 0.354
Calculated volume, A^3/atom: 21.40

Cell lengths 3.350, 3.350, 7.628 Å; angles 90.00, 90.00, 90.00 degrees
Space group P4/mmm (No. 123)
Symmetry-distinct sites (fractional):
Li 0.000 0.000 0.000 [1 per cell]
Os 0.000 0.000 0.500 [1 per cell]
Pb 0.500 0.500 0.276 [2 per cell]

(2)
A plane-wave DFT calculation with GGA-PBE was carried out for LiOsPb2 after structural relaxation.

## Properties
Polymorph energy (0 for the lowest one), meV/atom: 91.5
Energy relative to the elements, eV per atom: 0.445
Calculated volume, A^3/atom: 21.41

Cell lengths 3.387, 3.387, 7.468 Å; angles 90.00, 90.00, 90.00 degrees
Space group P4mm (No. 99)
Symmetry-distinct sites (fractional):
Li 0.000 0.000 0.000 [1 per cell]
Os 0.500 0.500 0.157 [1 per cell]
Pb 0.000 0.000 0.375 [1 per cell]
Pb 0.500 0.500 0.780 [1 per cell]

(3)
A plane-wave DFT calculation with GGA-PBE was carried out for LiOs2Pb4 after structural relaxation.

## Properties
Energy relative to the elements, eV per atom: 0.909
Calculated volume, A^3/atom: 25.73

Cell lengths 5.216, 5.216, 13.241 Å; angles 90.00, 90.00, 90.00 degrees
Space group I4/mmm (No. 139)
Symmetry-distinct sites (fractional):
Li 0.000 0.000 0.000 [2 per cell]
Os 0.000 0.000 0.408 [4 per cell]
Pb 0.000 0.000 0.204 [4 per cell]
Pb 0.000 0.500 0.000 [4 per cell]

(4)
A plane-wave DFT calculation with GGA-PBE was carried out for LiOsPb2 after structural relaxation.

## Properties
Polymorph energy (0 for the lowest one), meV/atom: 2.6
Energy relative to the elements, eV per atom: 0.356
Calculated volume, A^3/atom: 21.50

Cell lengths 3.345, 3.329, 7.760 Å; angles 90.00, 95.55, 90.00 degrees
Space group P2/m (No. 10)
Symmetry-distinct sites (fractional):
Li 0.000 0.000 0.000 [1 per cell]
Os 0.000 0.000 0.500 [1 per cell]
Pb 0.460 0.500 0.277 [2 per cell]

(5)
A plane-wave DFT calculation with GGA-PBE was carried out for LiOsPb after structural relaxation.

## Properties
Polymorph energy (0 for the lowest one), meV/atom: 0.0
Energy relative to the elements, eV per atom: 0.505
Calculated volume, A^3/atom: 16.84

Cell lengths 3.401, 3.401, 8.737 Å; angles 90.00, 90.00, 90.00 degrees
Space group I4mm (No. 107)
Symmetry-distinct sites (fractional):
Li 0.000 0.000 0.000 [2 per cell]
Os 0.000 0.000 0.355 [2 per cell]
Pb 0.000 0.000 0.681 [2 per cell]

(6)
A plane-wave DFT calculation with GGA-PBE was carried out for LiOsPb4 after structural relaxation.

## Properties
Energy relative to the elements, eV per atom: 0.970
Calculated volume, A^3/atom: 28.39

Cell lengths 8.800, 8.800, 8.800 Å; angles 90.00, 90.00, 90.00 degrees
Space group F-43m (No. 216)
Symmetry-distinct sites (fractional):
Li 0.000 0.000 0.000 [4 per cell]
Os 0.250 0.250 0.750 [4 per cell]
Pb 0.124 0.124 0.376 [16 per cell]

(7)
A plane-wave DFT calculation with GGA-PBE was carried out for LiOsPb2 after structural relaxation.

## Properties
Polymorph energy (0 for the lowest one), meV/atom: 186.3
Energy relative to the elements, eV per atom: 0.540
Calculated volume, A^3/atom: 20.03

Cell lengths 6.794, 6.809, 3.465 Å; angles 90.00, 90.00, 90.00 degrees
Space group Cmmm (No. 65)
Symmetry-distinct sites (fractional):
Li 0.000 0.000 0.000 [2 per cell]
Os 0.000 0.500 0.000 [2 per cell]
Pb 0.250 0.250 0.500 [4 per cell]

(8)
A plane-wave DFT calculation with GGA-PBE was carried out for LiOsPb2 after structural relaxation.

## Properties
Polymorph energy (0 for the lowest one), meV/atom: 95.2
Energy relative to the elements, eV per atom: 0.449
Calculated volume, A^3/atom: 22.75

Cell lengths 3.182, 4.483, 12.763 Å; angles 90.00, 90.00, 90.00 degrees
Space group Imm2 (No. 44)
Symmetry-distinct sites (fractional):
Li 0.000 0.000 0.000 [2 per cell]
Os 0.000 0.500 0.682 [2 per cell]
Pb 0.000 0.000 0.376 [2 per cell]
Pb 0.000 0.500 0.160 [2 per cell]

(9)
A plane-wave DFT calculation with GGA-PBE was carried out for LiOsPb2 after structural relaxation.

## Properties
Polymorph energy (0 for the lowest one), meV/atom: 52.7
Energy relative to the elements, eV per atom: 0.407
Calculated volume, A^3/atom: 20.26

Cell lengths 3.422, 4.578, 5.442 Å; angles 90.00, 108.11, 90.00 degrees
Space group Pm (No. 6)
Symmetry-distinct sites (fractional):
Li 0.000 0.000 0.000 [1 per cell]
Os 0.136 0.500 0.276 [1 per cell]
Pb 0.423 0.500 0.844 [1 per cell]
Pb 0.720 0.000 0.446 [1 per cell]

(10)
A plane-wave DFT calculation with GGA-PBE was carried out for LiOsPb2 after structural relaxation.

## Properties
Polymorph energy (0 for the lowest one), meV/atom: 151.0
Energy relative to the elements, eV per atom: 0.505
Calculated volume, A^3/atom: 20.45

Cell lengths 3.434, 4.209, 5.658 Å; angles 90.00, 90.00, 90.00 degrees
Space group Pmm2 (No. 25)
Symmetry-distinct sites (fractional):
Li 0.000 0.000 0.000 [1 per cell]
Os 0.500 0.500 0.273 [1 per cell]
Pb 0.000 0.000 0.456 [1 per cell]
Pb 0.500 0.500 0.793 [1 per cell]

(11)
A plane-wave DFT calculation with GGA-PBE was carried out for LiOsPb after structural relaxation.

## Properties
Polymorph energy (0 for the lowest one), meV/atom: 53.1
Energy relative to the elements, eV per atom: 0.559
Calculated volume, A^3/atom: 17.42

Cell lengths 2.897, 4.181, 8.633 Å; angles 90.00, 90.00, 90.00 degrees
Space group Imm2 (No. 44)
Symmetry-distinct sites (fractional):
Li 0.000 0.000 0.000 [2 per cell]
Os 0.000 0.000 0.653 [2 per cell]
Pb 0.000 0.000 0.322 [2 per cell]

(12)
A plane-wave DFT calculation with GGA-PBE was carried out for LiOsPb2 after structural relaxation.

## Properties
Polymorph energy (0 for the lowest one), meV/atom: 60.8
Energy relative to the elements, eV per atom: 0.415
Calculated volume, A^3/atom: 21.75

Cell lengths 3.3607, 3.3607, 26.6882 Å; angles 90.00, 90.00, 120.00 degrees
Space group R-3m (No. 166, hexagonal axes)
Symmetry-distinct sites (fractional):
Li 0.0000 0.0000 0.0000 [3 per cell]
Os 0.0000 0.0000 0.5000 [3 per cell]
Pb 0.0000 0.0000 0.2438 [6 per cell]

(13)
A plane-wave DFT calculation with GGA-PBE was carried out for Li4OsPb after structural relaxation.

## Properties
Energy relative to the elements, eV per atom: 0.258
Calculated volume, A^3/atom: 14.46

Cell lengths 7.028, 7.028, 7.028 Å; angles 90.00, 90.00, 90.00 degrees
Space group F-43m (No. 216)
Symmetry-distinct sites (fractional):
Li 0.122 0.122 0.122 [16 per cell]
Os 0.250 0.250 0.750 [4 per cell]
Pb 0.000 0.000 0.500 [4 per cell]

(14)
A plane-wave DFT calculation with GGA-PBE was carried out for LiOsPb2 after structural relaxation.

## Properties
Polymorph energy (0 for the lowest one), meV/atom: 20.9
Energy relative to the elements, eV per atom: 0.375
Calculated volume, A^3/atom: 19.70

Cell lengths 6.806, 6.806, 6.806 Å; angles 90.00, 90.00, 90.00 degrees
Space group Fm-3m (No. 225)
Symmetry-distinct sites (fractional):
Li 0.000 0.000 0.000 [4 per cell]
Os 0.000 0.000 0.500 [4 per cell]
Pb 0.250 0.250 0.250 [8 per cell]

(15)
A plane-wave DFT calculation with GGA-PBE was carried out for LiOsPb2 after structural relaxation.

## Properties
Polymorph energy (0 for the lowest one), meV/atom: 99.6
Energy relative to the elements, eV per atom: 0.454
Calculated volume, A^3/atom: 21.17

Cell lengths 8.729, 3.376, 5.853 Å; angles 90.00, 100.83, 90.00 degrees
Space group C2/m (No. 12)
Symmetry-distinct sites (fractional):
Li 0.000 0.000 0.000 [2 per cell]
Os 0.000 0.500 0.500 [2 per cell]
Pb 0.240 0.000 0.735 [4 per cell]